# 1
Crystalline MoPbBr2 at its relaxed geometry. Source: the Alexandria database, functional PBE-GGA.

Results
The polymorph energy (0 for the lowest one) is 0.0508 eV per atom. For the raw total energy, the calculation gives -35.15 eV/cell. The value obtained for the energy relative to the elements, uncorrected is 0.08 eV per atom.

Cell lengths 3.2886, 5.2948, 14.1065 Å; angles 90.00, 90.00, 90.00 degrees
Space group Immm (No. 71)
One atom of each set of equivalent atoms:
Mo: 0.0000 0.0000 0.0000
Pb: 0.0000 0.0000 0.5000
Br: 0.0000 0.5000 0.3515

=====

# 2
Crystalline MoPb2Br2 at its relaxed geometry. Source: the Alexandria database, functional PBE-GGA.

Results
The polymorph energy (0 for the lowest one) is 0.3566 eV per atom. For the raw total energy, the calculation gives -36.47 eV/cell. The value obtained for the energy relative to the elements, uncorrected is 0.67 eV per atom.

Cell lengths 4.3284, 4.3284, 17.5576 Å; angles 90.00, 90.00, 90.00 degrees
Space group I4/mmm (No. 139)
One atom of each set of equivalent atoms:
Mo: 0.0000 0.0000 0.0000
Pb: 0.0000 0.5000 0.2500
Br: 0.0000 0.0000 0.4044

=====

# 3
Crystalline MoPbBr2 at its relaxed geometry. Source: the Alexandria database, functional PBE-GGA.

Results
The polymorph energy (0 for the lowest one) is 0.5718 eV per atom. For the raw total energy, the calculation gives -61.96 eV/cell. The value obtained for the energy relative to the elements, uncorrected is 0.60 eV per atom.

Cell lengths 7.5226, 7.5226, 7.5226 Å; angles 90.00, 90.00, 90.00 degrees
Space group Fm-3m (No. 225)
One atom of each set of equivalent atoms:
Mo: 0.0000 0.0000 0.0000
Pb: 0.0000 0.0000 0.5000
Br: 0.2500 0.2500 0.2500

=====

# 4
Crystalline MoPbBr2 at its relaxed geometry. Source: the Alexandria database, functional PBE-GGA.

Results
The polymorph energy (0 for the lowest one) is 0.3189 eV per atom. For the raw total energy, the calculation gives -49.51 eV/cell. The value obtained for the energy relative to the elements, uncorrected is 0.35 eV per atom.

Cell lengths 3.3417, 3.3417, 30.9261 Å; angles 90.00, 90.00, 120.00 degrees
Space group R-3m (No. 166, hexagonal axes)
One atom of each set of equivalent atoms:
Mo: 0.0000 0.0000 0.0000
Pb: 0.0000 0.0000 0.5000
Br: 0.0000 0.0000 0.0787

=====

# 5
Crystalline MoPbBr2 at its relaxed geometry. Source: the Alexandria database, functional PBE-GGA.

Results
The polymorph energy (0 for the lowest one) is 0.3006 eV per atom. For the raw total energy, the calculation gives -16.58 eV/cell. The value obtained for the energy relative to the elements, uncorrected is 0.33 eV per atom.

Cell lengths 3.1968, 3.1968, 10.3894 Å; angles 90.00, 90.00, 90.00 degrees
Space group P4/mmm (No. 123)
One atom of each set of equivalent atoms:
Mo: 0.0000 0.0000 0.0000
Pb: 0.0000 0.0000 0.5000
Br: 0.5000 0.5000 0.1526

=====

# 6
Crystalline Mo3PbBr at its relaxed geometry. Source: the Alexandria database, functional PBE-GGA.

Results
The polymorph energy (0 for the lowest one) is 1.1920 eV per atom. For the raw total energy, the calculation gives -24.23 eV/cell. The value obtained for the energy relative to the elements, uncorrected is 2.73 eV per atom.

Cell lengths 5.1211, 5.1211, 5.1211 Å; angles 90.00, 90.00, 90.00 degrees
Space group Pm-3m (No. 221)
One atom of each set of equivalent atoms:
Mo: 0.0000 0.0000 0.5000
Pb: 0.0000 0.0000 0.0000
Br: 0.5000 0.5000 0.5000

=====

Question: Which value of raw total energy does entry 2 give?
Answer: -36.47 eV/cell

=====

Question: What is the polymorph energy (0 for the lowest one) in the sixth record?
Answer: 1.1920 eV per atom

=====

Question: Number 3 is which compound?
Answer: MoPbBr2